A plane-wave DFT calculation with GGA-PBE was carried out for Mg2ZnCuH after structural relaxation.

Structure (POSCAR):
```
Mg2ZnCuH
1.0
-0.997 -2.557 -3.702
4.181 -1.927 0.205
-1.196 -2.386 1.971
H Cu Mg Zn
1 1 2 1
direct
0.000 0.000 0.000
0.000 0.000 0.500
0.500 0.000 0.000
0.000 0.500 0.000
0.500 0.500 0.500
```

Output
Relative energy among the computed polymorphs = 0 meV/atom
SG = No. 123
V = 70 Å³/cell